# 1
VASP calculation (PBE-GGA) on crystalline BaN2ClF at its relaxed geometry.

Properties
Energy above the most stable polymorph in this dataset: 285 meV/atom
Formation energy without anion corrections: 0.561 eV per atom
Total moment: 1.207 μB per atom

Lattice parameters (Å, degrees): 5.780 5.780 4.827 90.00 90.00 90.00
Space group P4/mmm (No. 123)
One atom of each set of equivalent atoms:
Ba: 0.000 0.000 0.000 (multiplicity 1)
N: 0.000 0.500 0.000 (multiplicity 2)
Cl: 0.500 0.500 0.500 (multiplicity 1)
F: 0.000 0.000 0.500 (multiplicity 1)

=====

# 2
VASP calculation (PBE-GGA) on crystalline BaNClF2 at its relaxed geometry.

Properties
Energy above the most stable polymorph in this dataset: 0 meV/atom
Formation energy without anion corrections: -0.958 eV per atom
Total moment: 0.000 μB per atom

Lattice parameters (Å, degrees): 4.919 4.919 3.595 90.00 90.00 90.00
Space group P4/mmm (No. 123)
One atom of each set of equivalent atoms:
Ba: 0.000 0.000 0.000 (multiplicity 1)
N: 0.500 0.500 0.000 (multiplicity 1)
Cl: 0.500 0.500 0.500 (multiplicity 1)
F: 0.000 0.500 0.500 (multiplicity 2)

=====

# 3
VASP calculation (PBE-GGA) on crystalline BaN2ClF at its relaxed geometry.

Properties
Energy above the most stable polymorph in this dataset: 0 meV/atom
Formation energy without anion corrections: 0.277 eV per atom
Total moment: 0.242 μB per atom

Lattice parameters (Å, degrees): 3.922 3.922 5.248 90.00 90.00 90.00
Space group P4/mmm (No. 123)
One atom of each set of equivalent atoms:
Ba: 0.000 0.000 0.000 (multiplicity 1)
N: 0.000 0.500 0.500 (multiplicity 2)
Cl: 0.500 0.500 0.500 (multiplicity 1)
F: 0.500 0.500 0.000 (multiplicity 1)